Entry 1:
The following is a PBE-GGA calculation of a relaxed structure of CePuS2, from Alexandria.

The calculation puts the total magnetization at 6.2 μB/f.u. The value obtained for the volume is 89.54 Å³/f.u. For the formation energy without anion corrections, the calculation gives -183.7 kJ/mol of atoms.

The space group is R-3m (No. 166, hexagonal axes) and the conventional cell measures 3.9852, 3.9852 and 19.5306 Å, with angles of 90.00, 90.00 and 120.00 degrees. The asymmetric unit holds Ce at (0.0000, 0.0000, 0.0000), Pu at (0.0000, 0.0000, 0.5000) and S at (0.0000, 0.0000, 0.2471).

Entry 2:
The following is a PBE-GGA calculation of a relaxed structure of ZnGeAsIrAu, from Alexandria.

The calculation puts the total magnetization at 0.0 μB/f.u. The value obtained for the formation energy is -51 meV per atom. The value obtained for the volume is 86.88 Å³/f.u.

The space group is Cm (No. 8) and the conventional cell measures 19.961, 2.967 and 2.967 Å, with angles of 90.00, 98.54 and 90.00 degrees. The asymmetric unit holds Zn at (0.000, 0.000, 0.000), Ge at (0.305, 0.500, 0.807), As at (0.166, 0.000, 0.168), Ir at (0.090, 0.500, 0.590) and Au at (0.406, 0.000, 0.407).

Entry 3:
The following is a PBE-GGA calculation of a relaxed structure of IrW2Br, from Alexandria.

The calculation puts the total magnetization at 0.0 μB/f.u. The value obtained for the volume is 92.87 Å³/f.u. For the formation energy without anion corrections, the calculation gives 131.0 kJ/mol of atoms.

The space group is I-42d (No. 122) and the conventional cell measures 5.802, 5.802 and 11.036 Å, with angles of 90.00, 90.00 and 90.00 degrees. The asymmetric unit holds Ir at (0.000, 0.000, 0.000), W at (0.233, 0.250, 0.125) and Br at (0.000, 0.000, 0.500).

E, record by record: -9.034; -4.586; -7.752 eV/atom